A relaxed structure of CaPdI2, computed with PBE.

Cell: 4.3148 4.3148 26.8971 Å, 90.00 90.00 120.00°
Space group R-3m (No. 166, hexagonal axes)
Unique sites:
Ca  0.0000  0.0000  0.0000 x3
Pd  0.0000  0.0000  0.5000 x3
I  0.0000  0.0000  0.1105 x6

Calculated values
For the total energy, the calculation gives -34.293 eV for the cell shown. The relative energy among the computed polymorphs comes out at 0.468 eV per atom. The crystal system is trigonal. The formation energy (no corrections) comes out at -0.28 eV per atom.


A relaxed structure of Rb2CaPdI6, computed with PBE.

Cell: 8.406 8.406 11.930 Å, 90.00 90.00 90.00°
Space group I4/mmm (No. 139)
Unique sites:
Rb  0.000  0.500  0.250 x4
Ca  0.000  0.000  0.000 x2
Pd  0.000  0.000  0.500 x2
I  0.000  0.000  0.260 x4
I  0.239  0.239  0.500 x8

Calculated values
For the total energy, the calculation gives -57.195 eV for the cell shown. The crystal system is tetragonal. The formation energy (no corrections) comes out at -1.02 eV per atom.


A relaxed structure of CaSbPdI2, computed with PBE.

Cell: 5.923 5.923 6.201 Å, 90.00 90.00 90.00°
Space group P4/mmm (No. 123)
Unique sites:
Ca  0.000  0.000  0.000 x1
Sb  0.000  0.000  0.500 x1
Pd  0.500  0.500  0.500 x1
I  0.000  0.500  0.000 x2

Calculated values
For the total energy, the calculation gives -13.233 eV for the cell shown. The relative energy among the computed polymorphs comes out at 0.530 eV per atom. The crystal system is tetragonal. The formation energy (no corrections) comes out at 0.24 eV per atom.


A relaxed structure of CaSbPdI2, computed with PBE.

Cell: 5.496 5.496 5.418 Å, 90.00 90.00 90.00°
Space group P4/mmm (No. 123)
Unique sites:
Ca  0.000  0.000  0.000 x1
Sb  0.500  0.500  0.000 x1
Pd  0.500  0.500  0.500 x1
I  0.000  0.500  0.500 x2

Calculated values
For the total energy, the calculation gives -15.882 eV for the cell shown. The relative energy among the computed polymorphs comes out at 0.000 eV per atom. The crystal system is tetragonal. The formation energy (no corrections) comes out at -0.29 eV per atom.


A relaxed structure of CaSb2PdI, computed with PBE.

Cell: 5.821 5.821 5.759 Å, 90.00 90.00 90.00°
Space group P4/mmm (No. 123)
Unique sites:
Ca  0.000  0.000  0.000 x1
Sb  0.000  0.500  0.000 x2
Pd  0.500  0.500  0.500 x1
I  0.000  0.000  0.500 x1

Calculated values
For the total energy, the calculation gives -13.710 eV for the cell shown. The relative energy among the computed polymorphs comes out at 0.816 eV per atom. The crystal system is tetragonal. The formation energy (no corrections) comes out at 0.66 eV per atom.


A relaxed structure of CaSb2PdI, computed with PBE.

Cell: 5.227 5.227 5.748 Å, 90.00 90.00 90.00°
Space group P4/mmm (No. 123)
Unique sites:
Ca  0.000  0.000  0.000 x1
Sb  0.000  0.500  0.500 x2
Pd  0.500  0.500  0.500 x1
I  0.500  0.500  0.000 x1

Calculated values
For the total energy, the calculation gives -17.791 eV for the cell shown. The relative energy among the computed polymorphs comes out at 0.000 eV per atom. The crystal system is tetragonal. The formation energy (no corrections) comes out at -0.16 eV per atom.


A relaxed structure of CaPdSe2I, computed with PBE.

Cell: 4.839 4.839 6.260 Å, 90.00 90.00 90.00°
Space group P4/mmm (No. 123)
Unique sites:
Ca  0.000  0.000  0.000 x1
Pd  0.000  0.000  0.500 x1
Se  0.000  0.500  0.500 x2
I  0.500  0.500  0.000 x1

Calculated values
For the total energy, the calculation gives -17.995 eV for the cell shown. The crystal system is tetragonal. The formation energy (no corrections) comes out at -0.46 eV per atom.


A relaxed structure of SrCa2PdI, computed with PBE.

Cell: 5.620 5.620 6.121 Å, 90.00 90.00 90.00°
Space group P4/mmm (No. 123)
Unique sites:
Sr  0.000  0.000  0.000 x1
Ca  0.000  0.500  0.500 x2
Pd  0.000  0.000  0.500 x1
I  0.500  0.500  0.000 x1

Calculated values
For the total energy, the calculation gives -15.354 eV for the cell shown. The crystal system is tetragonal. The formation energy (no corrections) comes out at -0.59 eV per atom.


A relaxed structure of CaTe2PdI, computed with PBE.

Cell: 5.898 5.898 5.904 Å, 90.00 90.00 90.00°
Space group P4/mmm (No. 123)
Unique sites:
Ca  0.000  0.000  0.000 x1
Te  0.000  0.500  0.000 x2
Pd  0.500  0.500  0.500 x1
I  0.000  0.000  0.500 x1

Calculated values
For the total energy, the calculation gives -13.645 eV for the cell shown. The relative energy among the computed polymorphs comes out at 0.723 eV per atom. The crystal system is tetragonal. The formation energy (no corrections) comes out at 0.28 eV per atom.


A relaxed structure of CaTePdI2, computed with PBE.

Cell: 5.424 5.424 5.587 Å, 90.00 90.00 90.00°
Space group P4/mmm (No. 123)
Unique sites:
Ca  0.000  0.000  0.000 x1
Te  0.500  0.500  0.000 x1
Pd  0.500  0.500  0.500 x1
I  0.000  0.500  0.500 x2

Calculated values
For the total energy, the calculation gives -16.043 eV for the cell shown. The relative energy among the computed polymorphs comes out at 0.000 eV per atom. The crystal system is tetragonal. The formation energy (no corrections) comes out at -0.52 eV per atom.


A relaxed structure of CaTe2PdI, computed with PBE.

Cell: 5.366 5.366 5.514 Å, 90.00 90.00 90.00°
Space group P4/mmm (No. 123)
Unique sites:
Ca  0.000  0.000  0.000 x1
Te  0.000  0.500  0.500 x2
Pd  0.500  0.500  0.500 x1
I  0.500  0.500  0.000 x1

Calculated values
For the total energy, the calculation gives -17.263 eV for the cell shown. The relative energy among the computed polymorphs comes out at 0.000 eV per atom. The crystal system is tetragonal. The formation energy (no corrections) comes out at -0.45 eV per atom.


A relaxed structure of CaTePdI2, computed with PBE.

Cell: 5.986 5.986 6.122 Å, 90.00 90.00 90.00°
Space group P4/mmm (No. 123)
Unique sites:
Ca  0.000  0.000  0.000 x1
Te  0.000  0.000  0.500 x1
Pd  0.500  0.500  0.500 x1
I  0.000  0.500  0.000 x2

Calculated values
For the total energy, the calculation gives -13.365 eV for the cell shown. The relative energy among the computed polymorphs comes out at 0.536 eV per atom. The crystal system is tetragonal. The formation energy (no corrections) comes out at 0.01 eV per atom.


A relaxed structure of Ca2PmI, computed with PBE.

Cell: 3.9174 3.9174 32.7611 Å, 90.00 90.00 120.00°
Space group R-3m (No. 166, hexagonal axes)
Unique sites:
Ca  0.0000  0.0000  0.2420 x6
Pm  0.0000  0.0000  0.0000 x3
I  0.0000  0.0000  0.5000 x3

Calculated values
For the total energy, the calculation gives -36.721 eV for the cell shown. The relative energy among the computed polymorphs comes out at 0.000 eV per atom. The crystal system is trigonal. The formation energy (no corrections) comes out at -0.48 eV per atom.


A relaxed structure of CaPmI4, computed with PBE.

Cell: 17.628 4.259 7.832 Å, 90.00 114.30 90.00°
Space group C2/m (No. 12)
Unique sites:
Ca  0.000  0.000  0.000 x2
Pm  0.000  0.500  0.500 x2
I  0.116  0.500  0.280 x4
I  0.119  0.000  0.790 x4

Calculated values
For the total energy, the calculation gives -42.784 eV for the cell shown. The crystal system is monoclinic. The formation energy (no corrections) comes out at -1.41 eV per atom.


A relaxed structure of CaPmI6, computed with PBE.

Cell: 7.760 7.773 8.097 Å, 89.80 61.76 60.10°
Space group P-1 (No. 2)
Unique sites:
Ca  0.000  0.000  0.000 x1
Pm  0.000  0.500  0.500 x1
I  0.171  0.570  0.756 x2
I  0.181  0.746  0.251 x2
I  0.494  0.078  0.250 x2

Calculated values
For the total energy, the calculation gives -25.377 eV for the cell shown. The crystal system is triclinic. The formation energy (no corrections) comes out at -1.17 eV per atom.


A relaxed structure of CaPm2I6, computed with PBE.

Cell: 17.458 4.296 11.721 Å, 90.00 114.01 90.00°
Space group C2/m (No. 12)
Unique sites:
Ca  0.000  0.000  0.000 x2
Pm  0.184  0.500  0.362 x4
I  0.034  0.000  0.287 x4
I  0.141  0.500  0.063 x4
I  0.178  0.500  0.629 x4

Calculated values
For the total energy, the calculation gives -66.679 eV for the cell shown. The crystal system is monoclinic. The formation energy (no corrections) comes out at -1.39 eV per atom.


A relaxed structure of Ca2PmI, computed with PBE.

Cell: 3.806 3.806 10.105 Å, 90.00 90.00 90.00°
Space group P4/mmm (No. 123)
Unique sites:
Ca  0.000  0.000  0.234 x2
Pm  0.500  0.500  0.500 x1
I  0.500  0.500  0.000 x1

Calculated values
For the total energy, the calculation gives -12.008 eV for the cell shown. The relative energy among the computed polymorphs comes out at 0.058 eV per atom. The crystal system is tetragonal. The formation energy (no corrections) comes out at -0.43 eV per atom.


A relaxed structure of CaPmI4, computed with PBE.

Cell: 7.830 4.260 7.983 Å, 90.00 90.53 90.00°
Space group P2/m (No. 10)
Unique sites:
Ca  0.000  0.000  0.000 x1
Pm  0.500  0.500  0.000 x1
I  0.175  0.500  0.233 x2
I  0.318  0.000  0.760 x2

Calculated values
For the total energy, the calculation gives -21.391 eV for the cell shown. The crystal system is monoclinic. The formation energy (no corrections) comes out at -1.41 eV per atom.


A relaxed structure of CaPmI, computed with PBE.

Cell: 3.9409 3.9409 15.5271 Å, 90.00 90.00 120.00°
Space group P-6m2 (No. 187)
Unique sites:
Ca  0.0000  0.0000  0.0000 x1
Ca  0.3333  0.6667  0.5000 x1
Pm  0.3333  0.6667  0.1946 x2
I  0.0000  0.0000  0.3498 x2

Calculated values
For the total energy, the calculation gives -19.917 eV for the cell shown. The crystal system is hexagonal. The formation energy (no corrections) comes out at -0.55 eV per atom.


A relaxed structure of RbCaPmI6, computed with PBE.

Cell: 8.1122 8.1122 16.1637 Å, 90.00 90.00 120.00°
Space group P-31c (No. 163)
Unique sites:
Rb  0.0000  0.0000  0.0000 x2
Ca  0.3333  0.6667  0.2500 x2
Pm  0.3333  0.6667  0.7500 x2
I  0.0031  0.3749  0.6375 x12

Calculated values
For the total energy, the calculation gives -61.235 eV for the cell shown. The crystal system is trigonal. The formation energy (no corrections) comes out at -1.51 eV per atom.


A relaxed structure of CaPmTlI6, computed with PBE.

Cell: 8.0452 8.0452 15.2233 Å, 90.00 90.00 120.00°
Space group P-31c (No. 163)
Unique sites:
Ca  0.3333  0.6667  0.2500 x2
Pm  0.3333  0.6667  0.7500 x2
Tl  0.0000  0.0000  0.0000 x2
I  0.0030  0.3666  0.6316 x12

Calculated values
For the total energy, the calculation gives -60.466 eV for the cell shown. The crystal system is trigonal. The formation energy (no corrections) comes out at -1.31 eV per atom.


A relaxed structure of Ca2PrI6, computed with PBE.

Cell: 17.316 4.357 11.719 Å, 90.00 110.24 90.00°
Space group C2/m (No. 12)
Unique sites:
Ca  0.168  0.000  0.332 x4
Pr  0.000  0.500  0.000 x2
I  0.029  0.500  0.287 x4
I  0.148  0.000  0.054 x4
I  0.194  0.000  0.614 x4

Calculated values
For the total energy, the calculation gives -62.841 eV for the cell shown. The crystal system is monoclinic. The formation energy (no corrections) comes out at -1.48 eV per atom.


A relaxed structure of CaPrI, computed with PBE.

Cell: 3.9863 3.9863 7.9277 Å, 90.00 90.00 120.00°
Space group P3m1 (No. 156)
Unique sites:
Ca  0.0000  0.0000  0.0000 x1
Pr  0.6667  0.3333  0.3741 x1
I  0.3333  0.6667  0.6830 x1

Calculated values
For the total energy, the calculation gives -10.201 eV for the cell shown. The relative energy among the computed polymorphs comes out at 0.000 eV per atom. The crystal system is trigonal. The formation energy (no corrections) comes out at -0.62 eV per atom.


A relaxed structure of CaPrI, computed with PBE.

Cell: 12.061 6.093 6.107 Å, 90.00 90.00 90.00°
Space group Amm2 (No. 38)
Unique sites:
Ca  0.000  0.000  0.000 x2
Ca  0.500  0.000  0.303 x2
Pr  0.335  0.000  0.804 x4
I  0.226  0.000  0.303 x4

Calculated values
For the total energy, the calculation gives -38.854 eV for the cell shown. The relative energy among the computed polymorphs comes out at 0.162 eV per atom. The crystal system is orthorhombic. The formation energy (no corrections) comes out at -0.46 eV per atom.


A relaxed structure of CaPr2I, computed with PBE.

Cell: 3.7445 3.7445 36.7761 Å, 90.00 90.00 120.00°
Space group R-3m (No. 166, hexagonal axes)
Unique sites:
Ca  0.0000  0.0000  0.0000 x3
Pr  0.0000  0.0000  0.0966 x6
I  0.0000  0.0000  0.5000 x3

Calculated values
For the total energy, the calculation gives -41.930 eV for the cell shown. The crystal system is trigonal. The formation energy (no corrections) comes out at -0.22 eV per atom.


A relaxed structure of CaPr2I6, computed with PBE.

Cell: 20.872 4.338 9.748 Å, 90.00 110.44 90.00°
Space group C2/m (No. 12)
Unique sites:
Ca  0.000  0.000  0.000 x2
Pr  0.180  0.500  0.365 x4
I  0.011  0.500  0.238 x4
I  0.160  0.000  0.594 x4
I  0.162  0.000  0.105 x4

Calculated values
For the total energy, the calculation gives -67.072 eV for the cell shown. The crystal system is monoclinic. The formation energy (no corrections) comes out at -1.41 eV per atom.